Computed, not measured: a relaxed structure of Ca3Hf3NbN8 at the GGA-PBE level of DFT.

Properties
Energy relative to the elements, uncorrected in eV/atom: -1.32

Unit cell a=6.4833 b=6.4875 c=6.7752 alpha=118.61 beta=90.00 gamma=119.99
Last column: nearest neighbours and their distance in Å.
Atoms (fractional coordinates):
Ca  0.0000  0.0000  0.0000  6 N 2.48-2.50
Ca  0.0000  0.5000  0.0000  6 N 2.48-2.50
Ca  0.5000  0.5000  0.0000  6 N 2.48-2.50
Hf  0.5000  0.0000  0.5000  6 N 2.22
Hf  0.5000  0.5000  0.5000  6 N 2.22
Hf  0.0000  0.5000  0.5000  6 N 2.22
Nb  0.0000  0.0000  0.5000  6 N 2.13
N  0.2625  0.5249  0.2873  3 Hf 2.22, 3 Ca 2.48
N  0.7375  0.4751  0.7127  3 Hf 2.22, 3 Ca 2.48
N  0.7723  0.5446  0.2988  1 Nb 2.13, 2 Hf 2.22
N  0.2277  0.4554  0.7012  1 Nb 2.13, 2 Hf 2.22
N  0.7722  0.0265  0.2987  1 Nb 2.13, 2 Hf 2.22
N  0.2278  0.9735  0.7013  1 Nb 2.13, 2 Hf 2.22
N  0.2543  0.0265  0.2987  1 Nb 2.13, 2 Hf 2.22
N  0.7457  0.9735  0.7013  1 Nb 2.13, 2 Hf 2.22

=====

Computed, not measured: a relaxed structure of BaCdRe2 at the GGA-PBE level of DFT.

Properties
ΔH_f (0 K) in eV/atom: 1.38

Unit cell a=2.9247 b=5.2029 c=5.5486 alpha=90.00 beta=90.00 gamma=90.00
Last column: nearest neighbours and their distance in Å.
Atoms (fractional coordinates):
Re  0.0000  0.0000  0.0000  6 Re 2.92-2.98, 4 Ba 3.14
Re  0.5000  0.5000  0.0000  6 Re 2.92-2.98, 4 Cd 3.14
Ba  0.5000  0.0000  0.5000  2 Ba 2.92, 4 Cd 2.98, 4 Re 3.14
Cd  0.0000  0.5000  0.5000  2 Cd 2.92, 4 Ba 2.98, 4 Re 3.14

=====

Computed, not measured: a relaxed structure of Ti3VZn4 at the GGA-PBE level of DFT.

Properties
ΔH_f (0 K) in eV/atom: -0.13

Unit cell a=3.9049 b=3.9255 c=7.8462 alpha=90.00 beta=90.00 gamma=90.00
Last column: nearest neighbours and their distance in Å.
Atoms (fractional coordinates):
Zn  0.0000  0.0000  0.5000  8 Ti 2.77-2.81, 4 Zn 2.80
Zn  0.0000  0.5000  0.7552  2 V 2.74, 4 Zn 2.75-2.80, 6 Ti 2.77-2.80
Zn  0.0000  0.0000  0.0000  4 Ti 2.72, 4 Zn 2.75, 4 V 2.77
Zn  0.0000  0.5000  0.2448  2 V 2.74, 4 Zn 2.75-2.80, 6 Ti 2.77-2.80
V  0.5000  0.5000  0.0000  4 Ti 2.73, 8 Zn 2.74-2.77
Ti  0.5000  0.0000  0.2423  8 Zn 2.72-2.81, 2 V 2.73, 2 Ti 2.82
Ti  0.5000  0.5000  0.5000  8 Zn 2.77-2.80, 4 Ti 2.82
Ti  0.5000  0.0000  0.7577  8 Zn 2.72-2.81, 2 V 2.73, 2 Ti 2.82

=====

Computed, not measured: a relaxed structure of ZnCdGa at the GGA-PBE level of DFT.

Properties
ΔH_f (0 K) in eV/atom: 0.06

Unit cell a=4.4619 b=4.4619 c=4.4619 alpha=60.00 beta=60.00 gamma=60.00
Last column: nearest neighbours and their distance in Å.
Atoms (fractional coordinates):
Zn  0.2500  0.2500  0.2500  4 Cd 2.73, 4 Ga 2.73
Ga  0.5000  0.5000  0.5000  4 Zn 2.73
Cd  0.0000  0.0000  0.0000  4 Zn 2.73

=====

Computed, not measured: a relaxed structure of Zn2IrCl at the GGA-PBE level of DFT.

Properties
E above lowest polymorph in meV/atom: 101
Energy relative to the elements, uncorrected in eV/atom: -0.16

Unit cell a=3.0588 b=3.0588 c=7.0516 alpha=90.00 beta=90.00 gamma=89.98
Last column: nearest neighbours and their distance in Å.
Atoms (fractional coordinates):
Cl  0.5000  0.5000  0.2500  8 Zn 2.96-2.97, 4 Cl 3.06
Ir  0.5000  0.5000  0.7500  8 Zn 2.63
Zn  0.0000  0.0000  0.9624  4 Ir 2.63
Zn  0.0000  0.0000  0.5376  4 Ir 2.63

=====

Computed, not measured: a relaxed structure of HfZnRe3 at the GGA-PBE level of DFT.

Properties
E above lowest polymorph in meV/atom: 1040
ΔH_f (0 K) in eV/atom: 2.54

Unit cell a=4.7892 b=4.7892 c=4.7892 alpha=90.00 beta=90.00 gamma=90.00
Last column: nearest neighbours and their distance in Å.
Atoms (fractional coordinates):
Re  0.0000  0.5000  0.0000  2 Hf 2.39
Re  0.0000  0.0000  0.5000  2 Hf 2.39
Re  0.5000  0.0000  0.0000  2 Hf 2.39
Zn  0.5000  0.5000  0.5000  12 Re 3.39
Hf  0.0000  0.0000  0.0000  6 Re 2.39

=====

Computed, not measured: a relaxed structure of YVAsSe2 at the GGA-PBE level of DFT.

Properties
E above lowest polymorph in meV/atom: 0
Energy relative to the elements, uncorrected in eV/atom: -0.51

Unit cell a=4.8574 b=4.8574 c=4.7637 alpha=90.00 beta=90.00 gamma=90.00
Last column: nearest neighbours and their distance in Å.
Atoms (fractional coordinates):
Y  0.5000  0.5000  0.5000  8 Se 3.40, 4 As 3.43
As  0.0000  0.0000  0.5000  2 V 2.38
Se  0.0000  0.5000  0.0000  2 V 2.43
Se  0.5000  0.0000  0.0000  2 V 2.43
V  0.0000  0.0000  0.0000  2 As 2.38, 4 Se 2.43

=====

Computed, not measured: a relaxed structure of LaCeIn2 at the GGA-PBE level of DFT.

Properties
ΔH_f (0 K) in eV/atom: -0.43

Unit cell a=3.6350 b=5.7802 c=5.7802 alpha=106.66 beta=89.99 gamma=89.99
Last column: nearest neighbours and their distance in Å.
Atoms (fractional coordinates):
La  0.5000  0.5000  0.5000  8 In 3.41, 2 Ce 3.45, 2 La 3.63
Ce  0.5000  0.0000  0.0000  8 In 3.41, 2 La 3.45, 2 Ce 3.63
In  0.0000  0.0000  0.5000  4 La 3.41, 4 Ce 3.41, 4 In 3.45-3.63
In  0.0000  0.5000  0.0000  4 Ce 3.41, 4 La 3.41, 4 In 3.45-3.63

=====

Computed, not measured: a relaxed structure of CsCoBr4 at the GGA-PBE level of DFT.

Properties
E above lowest polymorph in meV/atom: 0
Energy relative to the elements, uncorrected in eV/atom: -0.80

Unit cell a=9.1378 b=9.1377 c=9.1377 alpha=75.59 beta=75.58 gamma=120.14
Last column: nearest neighbours and their distance in Å.
Atoms (fractional coordinates):
Cs  0.8750  0.6250  0.2500  8 Br 3.71-3.82
Cs  0.1250  0.3750  0.7500  8 Br 3.71-3.82
Co  0.6250  0.8750  0.7500  4 Br 2.33
Co  0.3750  0.1250  0.2500  4 Br 2.33
Br  0.3066  0.7255  0.9188  1 Co 2.33
Br  0.6443  0.7254  0.5812  1 Co 2.33
Br  0.2255  0.1443  0.0812  1 Co 2.33
Br  0.6934  0.2745  0.0812  1 Co 2.33
Br  0.2254  0.8066  0.4188  1 Co 2.33
Br  0.7745  0.8557  0.9188  1 Co 2.33
Br  0.3557  0.2745  0.4188  1 Co 2.33
Br  0.7746  0.1934  0.5812  1 Co 2.33

=====

Computed, not measured: a relaxed structure of Zr6NbRh2 at the GGA-PBE level of DFT.

Properties
ΔH_f (0 K) in eV/atom: -0.31

Unit cell a=4.7454 b=5.7793 c=7.6285 alpha=84.37 beta=71.88 gamma=65.76
Last column: nearest neighbours and their distance in Å.
Atoms (fractional coordinates):
Zr  0.1973  0.9746  0.6309  1 Rh 2.75, 1 Nb 2.96, 4 Zr 3.03-3.06
Zr  0.3219  0.2065  0.1496  3 Rh 2.77-2.85, 1 Nb 2.93, 3 Zr 3.02-3.03
Zr  0.6781  0.7935  0.8504  3 Rh 2.77-2.85, 1 Nb 2.93, 3 Zr 3.02-3.03
Zr  0.4443  0.3900  0.7214  3 Rh 2.92, 2 Nb 2.93, 2 Zr 3.14-3.17
Zr  0.5557  0.6100  0.2786  3 Rh 2.92, 2 Nb 2.93, 2 Zr 3.14-3.17
Zr  0.8027  0.0254  0.3691  1 Rh 2.75, 1 Nb 2.96, 4 Zr 3.03-3.06
Nb  0.0000  0.5000  0.5000  8 Zr 2.93-2.96
Rh  0.1150  0.7117  0.0582  7 Zr 2.75-2.92
Rh  0.8850  0.2883  0.9418  7 Zr 2.75-2.92

=====

Computed, not measured: a relaxed structure of PmSi6Ge2 at the GGA-PBE level of DFT.

Properties
Energy relative to the elements, uncorrected in eV/atom: 0.21

Unit cell a=3.6451 b=7.6700 c=7.6700 alpha=91.01 beta=67.02 gamma=67.02
Last column: nearest neighbours and their distance in Å.
Atoms (fractional coordinates):
Pm  0.0000  0.0000  0.0000  4 Si 3.07, 2 Ge 3.07
Si  0.3679  0.9636  0.3886  3 Si 2.38-2.43
Si  0.6321  0.0364  0.6114  3 Si 2.38-2.42
Si  0.6321  0.6114  0.0364  3 Si 2.38-2.42
Si  0.5000  0.3729  0.6271  2 Si 2.42-2.43, 2 Ge 2.59
Si  0.5000  0.6271  0.3729  2 Si 2.42-2.43, 2 Ge 2.59
Si  0.3679  0.3886  0.9636  3 Si 2.38-2.43
Ge  0.2091  0.3287  0.3287  4 Si 2.59-2.72
Ge  0.7909  0.6713  0.6713  4 Si 2.59-2.72

=====

Computed, not measured: a relaxed structure of Tl6Hg2TeSe2 at the GGA-PBE level of DFT.

Properties
Energy relative to the elements, uncorrected in eV/atom: -0.27

Unit cell a=7.9937 b=7.9937 c=7.8981 alpha=99.03 beta=99.03 gamma=119.44
Last column: nearest neighbours and their distance in Å.
Atoms (fractional coordinates):
Tl  0.7093  0.7093  0.7132  2 Se 3.11, 1 Te 3.28, 2 Hg 3.41
Tl  0.0732  0.4223  0.7243  2 Se 3.05-3.09, 1 Te 3.28, 1 Hg 3.40
Tl  0.2907  0.2907  0.2868  2 Se 3.11, 1 Te 3.28, 2 Hg 3.41
Tl  0.4223  0.0732  0.7243  2 Se 3.05-3.09, 1 Te 3.28, 1 Hg 3.40
Tl  0.9268  0.5777  0.2757  2 Se 3.05-3.09, 1 Te 3.28, 1 Hg 3.40
Tl  0.5777  0.9268  0.2757  2 Se 3.05-3.09, 1 Te 3.28, 1 Hg 3.40
Hg  0.8502  0.1498  0.0000  6 Tl 3.40-3.46
Hg  0.1498  0.8502  0.0000  6 Tl 3.40-3.46
Te  0.0000  0.0000  0.5000  6 Tl 3.28
Se  0.3260  0.6740  0.5000  6 Tl 3.05-3.11
Se  0.6740  0.3260  0.5000  6 Tl 3.05-3.11

=====

no.,total moment (Bohr magnetons per cell),V (A^3/atom)
1,0.00,13.71
2,0.00,21.11
3,0.61,15.03
4,0.00,20.94
5,0.00,16.49
6,2.49,21.97
7,0.00,22.48
8,1.24,29.09
9,8.00,47.65
10,0.00,20.13
11,0.00,19.78
12,0.00,37.97